No. 1
The following is a PBE calculation of crystalline NbSbPCl2 at its relaxed geometry, from Alexandria.

The structure in POSCAR format:
```
NbSbPCl2
1.0
5.094 0.000 0.000
0.000 5.094 0.000
0.000 0.000 5.329
Nb Sb P Cl
1 1 1 2
Cartesian
0.000 0.000 0.000
2.547 2.547 2.664
2.547 2.547 0.000
0.000 2.547 2.664
2.547 0.000 2.664
```

Formation energy (no corrections) (meV/atom): 795
Electronic total energy (eV per atom): -3.864
Energy above the most stable polymorph in this dataset (eV per atom): 0.7981

No. 2
The following is a PBE calculation of crystalline NbSbPCl2 at its relaxed geometry, from Alexandria.

The structure in POSCAR format:
```
NbSbPCl2
1.0
4.766 0.000 0.000
0.000 4.766 0.000
0.000 0.000 5.233
Nb Sb P Cl
1 1 1 2
Cartesian
0.000 0.000 0.000
2.383 2.383 2.616
0.000 0.000 2.616
0.000 2.383 0.000
2.383 0.000 0.000
```

Formation energy (no corrections) (meV/atom): -3
Electronic total energy (eV per atom): -4.662
Energy above the most stable polymorph in this dataset (eV per atom): 0.0000

No. 3
The following is a PBE calculation of crystalline ScNbPCl2 at its relaxed geometry, from Alexandria.

The structure in POSCAR format:
```
ScNbPCl2
1.0
4.772 0.000 0.000
0.000 4.772 0.000
0.000 0.000 5.054
Sc Nb P Cl
1 1 1 2
Cartesian
0.000 0.000 0.000
2.386 2.386 2.527
2.386 2.386 0.000
0.000 2.386 2.527
2.386 0.000 2.527
```

Formation energy (no corrections) (meV/atom): -273
Electronic total energy (eV per atom): -5.374
Energy above the most stable polymorph in this dataset (eV per atom): 0.0000

No. 4
The following is a PBE calculation of crystalline ScNbPCl2 at its relaxed geometry, from Alexandria.

The structure in POSCAR format:
```
ScNbPCl2
1.0
4.722 0.000 0.000
0.000 4.722 0.000
0.000 0.000 5.375
Sc Nb P Cl
1 1 1 2
Cartesian
0.000 0.000 0.000
2.361 2.361 2.687
0.000 0.000 2.687
0.000 2.361 0.000
2.361 0.000 0.000
```

Formation energy (no corrections) (meV/atom): -175
Electronic total energy (eV per atom): -5.276
Energy above the most stable polymorph in this dataset (eV per atom): 0.0977

No. 5
The following is a PBE calculation of crystalline NbPSe2Cl at its relaxed geometry, from Alexandria.

The structure in POSCAR format:
```
NbPSe2Cl
1.0
4.982 0.000 0.000
0.000 4.982 0.000
0.000 0.000 4.372
Nb P Se Cl
1 1 2 1
Cartesian
0.000 0.000 0.000
2.491 2.491 2.186
0.000 2.491 2.186
2.491 0.000 2.186
2.491 2.491 0.000
```

Formation energy (no corrections) (meV/atom): 516
Electronic total energy (eV per atom): -4.343
Energy above the most stable polymorph in this dataset (eV per atom): 0.0000

No. 6
The following is a PBE calculation of crystalline NbP2Se2Cl5 at its relaxed geometry, from Alexandria.

The structure in POSCAR format:
```
NbP2Se2Cl5
1.0
7.065 0.000 0.000
0.000 14.136 0.000
-5.065 0.000 27.654
Nb P Se Cl
8 16 16 40
Cartesian
-0.741 1.582 5.560
-3.274 5.486 19.387
-3.076 2.977 26.852
-0.543 4.091 13.026
2.544 10.044 14.628
5.076 11.159 0.801
5.274 8.650 8.266
2.742 12.554 22.093
-1.205 1.056 9.893
-3.738 6.012 23.720
0.240 1.272 8.170
-2.292 5.796 21.997
0.304 2.241 11.086
-2.228 4.827 24.913
-1.132 8.146 24.370
1.401 13.058 10.543
0.600 1.078 17.110
3.132 5.990 3.284
4.228 9.309 2.741
1.696 11.895 16.568
4.292 8.340 5.657
1.760 12.864 19.483
5.738 8.124 3.934
3.205 13.080 17.761
-3.442 8.106 24.410
-0.909 13.098 10.583
0.992 3.211 9.129
-1.540 3.857 22.956
2.712 7.806 1.955
0.180 13.397 15.782
-0.786 7.482 22.208
1.747 13.721 8.381
0.253 0.414 19.272
2.786 6.653 5.445
1.821 0.739 11.872
-0.712 6.329 25.698
3.540 10.279 4.697
1.008 10.924 18.524
2.909 1.038 17.070
5.442 6.030 3.243
-2.826 9.772 16.222
-0.293 11.432 2.396
-3.196 0.358 21.414
-0.663 6.710 7.587
-1.635 2.128 13.764
-4.168 4.940 27.591
-0.926 8.970 10.368
-3.459 12.233 24.195
-0.230 9.933 7.064
-2.762 11.270 20.890
1.274 1.463 0.760
-1.258 5.605 14.587
0.738 3.429 5.672
-1.794 3.639 19.499
1.108 0.248 4.997
-1.424 6.820 18.824
-1.690 1.594 25.550
0.842 5.474 11.723
-1.926 10.399 27.338
0.606 10.805 13.511
1.394 3.331 14.143
3.927 3.737 0.316
1.158 8.662 15.930
3.691 12.541 2.104
3.424 7.316 8.830
0.892 13.888 22.656
3.794 10.497 8.155
1.262 10.707 21.981
3.259 8.531 13.067
0.726 12.673 26.894
4.762 2.866 6.763
2.230 4.202 20.590
5.459 1.902 3.459
2.926 5.165 17.285
6.168 9.196 0.063
3.636 12.008 13.889
2.663 7.426 20.066
5.196 13.778 6.239
2.294 2.704 25.258
4.826 4.364 11.431
```

Formation energy (no corrections) (meV/atom): -784
Electronic total energy (eV per atom): -4.493

No. 7
The following is a PBE calculation of crystalline NbPSe2Cl at its relaxed geometry, from Alexandria.

The structure in POSCAR format:
```
NbPSe2Cl
1.0
4.807 0.000 0.000
0.000 4.807 0.000
0.000 0.000 4.967
Nb P Se Cl
1 1 2 1
Cartesian
0.000 0.000 0.000
0.000 0.000 2.483
0.000 2.403 2.483
2.403 0.000 2.483
2.403 2.403 0.000
```

Formation energy (no corrections) (meV/atom): 525
Electronic total energy (eV per atom): -4.334
Energy above the most stable polymorph in this dataset (eV per atom): 0.0089

No. 8
The following is a PBE calculation of crystalline NbSiP2Cl at its relaxed geometry, from Alexandria.

The structure in POSCAR format:
```
NbSiP2Cl
1.0
4.888 0.000 0.000
0.000 4.888 0.000
0.000 0.000 4.760
Nb Si P Cl
1 1 2 1
Cartesian
0.000 0.000 0.000
2.444 2.444 2.380
0.000 2.444 0.000
2.444 0.000 0.000
0.000 0.000 2.380
```

Formation energy (no corrections) (meV/atom): 448
Electronic total energy (eV per atom): -5.184
Energy above the most stable polymorph in this dataset (eV per atom): 0.0000

No. 9
The following is a PBE calculation of crystalline NbSiP2Cl at its relaxed geometry, from Alexandria.

The structure in POSCAR format:
```
NbSiP2Cl
1.0
4.524 0.000 0.000
0.000 4.524 0.000
0.000 0.000 4.516
Nb Si P Cl
1 1 2 1
Cartesian
0.000 0.000 0.000
2.262 2.262 2.258
0.000 2.262 2.258
2.262 0.000 2.258
2.262 2.262 0.000
```

Formation energy (no corrections) (meV/atom): 647
Electronic total energy (eV per atom): -4.985
Energy above the most stable polymorph in this dataset (eV per atom): 0.1992

No. 10
The following is a PBE calculation of crystalline NbSnPCl2 at its relaxed geometry, from Alexandria.

The structure in POSCAR format:
```
NbSnPCl2
1.0
5.079 0.000 0.000
0.000 5.079 0.000
0.000 0.000 5.226
Nb Sn P Cl
1 1 1 2
Cartesian
0.000 0.000 0.000
2.540 2.540 2.613
2.540 2.540 0.000
0.000 2.540 2.613
2.540 0.000 2.613
```

Formation energy (no corrections) (meV/atom): 674
Electronic total energy (eV per atom): -3.962
Energy above the most stable polymorph in this dataset (eV per atom): 0.8645